BaTcTe2N: relaxed, GGA-PBEsol.

Properties
The calculation puts the density at 6.9 Mg/m³. The total energy comes out at -6.22 eV/atom. The value obtained for the uncorrected formation energy is -2.1 eV per formula unit. For the size of the total moment, the calculation gives 0.01 μB per formula unit.

Lattice parameters (Å, degrees): 3.7689 5.6604 5.6604 90.00 90.00 90.00
With the nearest neighbours (Å) after each atom.
Sites, in units of the cell vectors:
Tc: 0.0000 0.0000 0.0000  2 N 1.88
Te: 0.0000 0.0000 0.5000  2 Tc 2.83
Te: 0.0000 0.5000 0.0000  2 Tc 2.83
Ba: 0.5000 0.5000 0.5000  8 Te 3.40, 2 Ba 3.77
N: 0.5000 0.0000 0.0000  2 Tc 1.88